#1
Below is a geometry-optimized SrAg3S3 structure, with properties calculated at the PBE level.

Lattice parameters (Å, degrees): 7.0502 7.0502 7.0502 90.00 90.00 90.00
Space group Pm-3n (No. 223)
Symmetry-distinct sites (fractional):
Sr (0.0000, 0.0000, 0.0000) x2
Ag (0.0000, 0.2500, 0.5000) x6
S (0.0000, 0.5000, 0.2500) x6

The calculated density comes out at 4.809 g cm⁻³.

#2
Below is a geometry-optimized SrAg3S3 structure, with properties calculated at the PBE level.

Lattice parameters (Å, degrees): 7.3284 7.3284 21.3835 90.00 90.00 120.00
Space group R-3 (No. 148, hexagonal axes)
Symmetry-distinct sites (fractional):
Sr (0.0000, 0.0000, 0.1664) x6
Ag (0.0017, 0.6807, 0.6198) x18
S (0.0013, 0.6571, 0.4152) x18

The calculated density comes out at 5.083 g cm⁻³.

Among the structures above, stability is greatest for #2.